Entry 1:
A plane-wave DFT calculation with PBE was carried out for an optimized crystal structure of TlInClF2.

The structure in extended XYZ format:
```
5
Lattice="4.568 0.000 0.000 0.000 4.568 0.000 0.000 0.000 5.611" Properties=species:S:1:pos:R:3 pbc="T T T"
Tl 2.284 2.284 2.806
Cl 0.000 0.000 2.806
F 0.000 2.284 0.000
F 2.284 0.000 0.000
In 0.000 0.000 0.000
```

Results
As for the energy relative to the elements, uncorrected: -1.63 eV per atom. As for the total magnetization: 0.0 μB per formula unit. The volume is 23.41 A^3/atom. The calculated total energy comes out at -3.76 eV per atom. As for the symmetry: No. 123.


Entry 2:
A plane-wave DFT calculation with PBE was carried out for an optimized crystal structure of ErZrSi.

The structure in extended XYZ format:
```
6
Lattice="-3.795 1.233 0.072 -2.702 -1.516 -5.809 -3.472 -4.311 1.395" Properties=species:S:1:pos:R:3 pbc="T T T"
Er -4.967 -2.111 -4.423
Er -5.002 -2.483 0.082
Si -5.887 -4.993 -3.571
Si -4.082 0.399 -0.770
Zr -7.370 -3.183 -2.145
Zr -2.599 -1.412 -2.197
```

Results
As for the energy relative to the elements, uncorrected: -0.59 eV per atom. As for the total magnetization: 0.0 μB per formula unit. The volume is 22.17 A^3/atom. The calculated total energy comes out at -6.76 eV per atom. As for the symmetry: No. 12.


Entry 3:
A plane-wave DFT calculation with PBE was carried out for an optimized crystal structure of CoSeBr.

The structure in extended XYZ format:
```
3
Lattice="-4.543 -0.089 -0.919 -2.949 -1.840 3.067 -2.897 2.741 2.363" Properties=species:S:1:pos:R:3 pbc="T T T"
Br 0.000 0.000 0.000
Co -5.194 0.406 2.255
Se -2.597 0.203 1.128
```

Results
As for the energy relative to the elements, uncorrected: 0.95 eV per atom. As for the total magnetization: 2.3 μB per formula unit. The volume is 23.48 A^3/atom. The calculated total energy comes out at -3.14 eV per atom. As for the symmetry: No. 216.


Entry 4:
A plane-wave DFT calculation with PBE was carried out for an optimized crystal structure of TaTeW.

The structure in extended XYZ format:
```
3
Lattice="4.645 0.000 0.000 -2.323 4.023 0.000 0.000 0.000 3.040" Properties=species:S:1:pos:R:3 pbc="T T T"
Ta 0.000 0.000 2.892
Te 2.323 1.341 1.561
W 0.000 2.682 1.628
```

Results
As for the energy relative to the elements, uncorrected: 0.52 eV per atom. As for the total magnetization: 0.0 μB per formula unit. The volume is 18.94 A^3/atom. The calculated total energy comes out at -8.80 eV per atom. As for the symmetry: No. 156. The relative energy among the computed polymorphs comes out at 0.055 eV/atom.


Entry 5:
A plane-wave DFT calculation with PBE was carried out for an optimized crystal structure of KCrGe3.

The structure in extended XYZ format:
```
5
Lattice="4.746 0.000 0.000 0.000 4.746 0.000 0.000 0.000 4.746" Properties=species:S:1:pos:R:3 pbc="T T T"
Cr 0.000 0.000 0.000
Ge 0.000 2.373 0.000
Ge 0.000 0.000 2.373
Ge 2.373 0.000 0.000
K 2.373 2.373 2.373
```

Results
As for the total magnetization: 0.0 μB per formula unit. The volume is 21.39 A^3/atom. The calculated total energy comes out at -4.86 eV per atom. As for the symmetry: No. 221. The relative energy among the computed polymorphs comes out at 0.000 eV/atom.


Entry 6:
A plane-wave DFT calculation with PBE was carried out for an optimized crystal structure of Dy5ScZn4.

The structure in extended XYZ format:
```
10
Lattice="-2.723 1.408 -1.791 -1.038 -3.251 -0.977 -10.793 -1.200 15.465" Properties=species:S:1:pos:R:3 pbc="T T T"
Dy -3.199 -1.068 0.506
Dy -5.242 -1.295 3.432
Dy -7.277 -1.522 6.349
Dy -9.313 -1.748 9.265
Dy -11.355 -1.975 12.191
Sc 0.000 0.000 0.000
Zn -2.333 -0.259 3.343
Zn -4.372 -0.486 6.265
Zn -6.421 -0.714 9.201
Zn -8.460 -0.940 12.122
```

Results
As for the total magnetization: 0.0 μB per formula unit. The volume is 23.82 A^3/atom. The calculated total energy comes out at -3.71 eV per atom. As for the symmetry: No. 123.


Entry 7:
A plane-wave DFT calculation with PBE was carried out for an optimized crystal structure of Ho5GeRh2.

The structure in extended XYZ format:
```
16
Lattice="6.889 0.000 -3.252 -1.535 6.716 -3.252 -0.216 -0.271 8.465" Properties=species:S:1:pos:R:3 pbc="T T T"
Ho 2.350 4.494 2.114
Ho 3.957 6.510 -3.405
Ho 0.000 0.000 0.000
Ho 2.677 3.358 -3.252
Ho 1.180 -0.065 5.366
Ho 4.350 1.136 3.158
Ho -0.820 3.293 4.321
Ho 0.788 5.309 -1.197
Ho 5.957 3.152 -2.360
Ho 2.787 1.951 -0.153
Ge 3.907 4.901 -0.645
Ge 1.230 1.543 2.607
Rh 0.391 2.434 -1.626
Rh 4.181 0.924 -2.520
Rh 1.173 5.792 -3.983
Rh 4.963 4.281 -4.878
```

Results
As for the total magnetization: 0.0 μB per formula unit. The volume is 23.72 A^3/atom. The calculated total energy comes out at -6.00 eV per atom. As for the symmetry: No. 140.


Entry 8:
A plane-wave DFT calculation with PBE was carried out for an optimized crystal structure of SmTh3In4.

The structure in extended XYZ format:
```
8
Lattice="-2.837 1.483 -0.828 -2.670 -2.522 4.627 2.884 9.269 6.717" Properties=species:S:1:pos:R:3 pbc="T T T"
Th -0.699 3.053 1.261
Th -1.311 4.115 5.258
Th 0.747 7.700 4.628
Sm -2.753 -0.519 1.899
In 1.442 4.635 3.359
In 0.837 5.719 7.372
In 0.000 0.000 0.000
In -0.622 1.028 3.972
```

Results
As for the total magnetization: 0.3 μB per formula unit. The volume is 28.83 A^3/atom. The calculated total energy comes out at -5.03 eV per atom. As for the symmetry: No. 47.


Entry 9:
A plane-wave DFT calculation with PBE was carried out for an optimized crystal structure of FeSn.

The structure in extended XYZ format:
```
4
Lattice="-1.667 4.242 -0.126 -0.022 -2.572 -3.766 -4.660 -1.794 1.252" Properties=species:S:1:pos:R:3 pbc="T T T"
Fe -1.735 -0.749 -2.239
Fe -4.614 0.625 -0.400
Sn -4.065 -1.646 -1.613
Sn -2.284 1.522 -1.026
```

Results
As for the total magnetization: 2.4 μB per formula unit. The volume is 23.18 A^3/atom. The calculated total energy comes out at -5.62 eV per atom. As for the symmetry: No. 194.


Entry 10:
A plane-wave DFT calculation with PBE was carried out for an optimized crystal structure of RbGaF3.

The structure in extended XYZ format:
```
5
Lattice="-0.518 2.290 -2.515 -3.035 -4.803 -3.748 -3.272 4.062 4.373" Properties=species:S:1:pos:R:3 pbc="T T T"
Ga -3.174 0.385 1.004
Rb -3.510 4.408 2.383
F -2.190 1.519 -0.519
F -4.667 1.228 -0.274
F -3.211 1.774 2.276
```

Results
As for the energy relative to the elements, uncorrected: -2.26 eV per atom. As for the total magnetization: 0.0 μB per formula unit. The volume is 26.40 A^3/atom. The calculated total energy comes out at -4.18 eV per atom. As for the symmetry: No. 38.


Entry 11:
A plane-wave DFT calculation with PBE was carried out for an optimized crystal structure of CsCoRhCl6.

The structure in extended XYZ format:
```
9
Lattice="-3.087 1.768 -5.186 -2.725 -4.324 -3.666 -6.686 0.662 4.146" Properties=species:S:1:pos:R:3 pbc="T T T"
Cs -9.775 2.424 -1.042
Co -7.214 -1.355 -3.825
Rh -5.280 -0.518 -0.877
Cl -3.231 -1.334 -0.007
Cl -5.649 1.060 0.849
Cl -7.400 -0.018 -1.812
Cl -6.228 -2.265 0.421
Cl -5.034 -1.870 -2.813
Cl -4.144 1.286 -1.906
```

Results
As for the energy relative to the elements, uncorrected: -0.91 eV per atom. As for the total magnetization: 3.0 μB per formula unit. The volume is 30.05 A^3/atom. The calculated total energy comes out at -3.84 eV per atom. As for the symmetry: No. 5.


Entry 12:
A plane-wave DFT calculation with PBE was carried out for an optimized crystal structure of Bi5Pb6.

The structure in extended XYZ format:
```
11
Lattice="6.917 0.000 0.262 3.458 6.431 0.131 2.630 0.000 8.468" Properties=species:S:1:pos:R:3 pbc="T T T"
Bi 4.773 0.000 4.365
Bi 3.458 1.754 0.131
Bi 6.917 4.677 0.262
Bi 4.773 3.442 4.365
Bi 8.231 2.989 4.496
Pb 7.472 0.000 6.207
Pb 2.074 0.000 2.523
Pb 6.809 4.578 6.968
Pb 9.654 4.578 2.024
Pb 6.196 1.852 1.893
Pb 3.350 1.852 6.837
```

Results
As for the total magnetization: 0.0 μB per formula unit. The volume is 33.83 A^3/atom. The calculated total energy comes out at -3.73 eV per atom. As for the symmetry: No. 12. The relative energy among the computed polymorphs comes out at 0.000 eV/atom.